w.
DFT (PBE) results for a relaxed structure of Na2Os2S.

Unit cell a=9.484 b=9.484 c=2.441 alpha=90.00 beta=90.00 gamma=90.00
Space group P4/mbm (No. 127)
Inequivalent atoms, fractional coordinates:
1 Na 0.198 0.302 0.000 [4 per cell]
2 Os 0.088 0.588 0.500 [4 per cell]
3 S 0.000 0.000 0.000 [2 per cell]

---

x.
DFT (PBE) results for a relaxed structure of Na2Os2S.

Unit cell a=3.457 b=3.457 c=18.041 alpha=90.00 beta=90.00 gamma=90.00
Space group I4/mmm (No. 139)
Inequivalent atoms, fractional coordinates:
1 Na 0.000 0.000 0.089 [4 per cell]
2 Os 0.000 0.500 0.250 [4 per cell]
3 S 0.000 0.000 0.500 [2 per cell]

---

Least stable = w